(1)
## CrOsS2 (PBE)

Data for an optimized crystal structure of CrOsS2.

Geometry as CIF:
```
data_CrOsS2
_chemical_formula_sum 'Cr4 Os4 S8'
_symmetry_space_group_name_H-M 'I -4 2 d'
_symmetry_Int_Tables_number 122
_symmetry_space_group_name_Hall 'I -4 2bw'
_cell_length_a 5.172
_cell_length_b 5.172
_cell_length_c 10.609
_cell_angle_alpha 90.00
_cell_angle_beta 90.00
_cell_angle_gamma 90.00
loop_
_atom_site_label
_atom_site_fract_x
_atom_site_fract_y
_atom_site_fract_z
Cr1 0.000 0.000 0.000
Os1 0.000 0.000 0.500
S1 0.249 0.250 0.125
```

Calculated values
The energy above the most stable polymorph in this dataset comes out at 0.140 eV per atom. The value obtained for the density of states at the Fermi level is 10.95 states/eV per cell. Its crystal system is tetragonal.

***

(2)
## BiRh (PBE)

Data for an optimized crystal structure of BiRh.

Geometry as CIF:
```
data_BiRh
_chemical_formula_sum 'Bi8 Rh8'
_symmetry_space_group_name_H-M 'P 21 21 21'
_symmetry_Int_Tables_number 19
_cell_length_a 5.766
_cell_length_b 7.476
_cell_length_c 8.615
_cell_angle_alpha 90.00
_cell_angle_beta 90.00
_cell_angle_gamma 90.00
loop_
_symmetry_equiv_pos_as_xyz
'x,y,z'
'-x+1/2,-y,z+1/2'
'x+1/2,-y+1/2,-z'
'-x,y+1/2,-z+1/2'
loop_
_atom_site_label
_atom_site_fract_x
_atom_site_fract_y
_atom_site_fract_z
Bi1 0.003 0.140 0.143
Bi2 0.022 0.690 0.895
Rh1 0.029 0.839 0.613
Rh2 0.243 0.490 0.619
```

Calculated values
Its formation energy is -41 meV per atom. The value obtained for the density of states at the Fermi level is 12.01 states/eV per cell. Its crystal system is orthorhombic.

***

(3)
## Tl3CuHg2F9 (PBE)

Data for an optimized crystal structure of Tl3CuHg2F9.

Geometry as CIF:
```
data_Tl3CuHg2F9
_chemical_formula_sum 'Tl3 Cu1 Hg2 F9'
_symmetry_space_group_name_H-M 'P -3 m 1'
_symmetry_Int_Tables_number 164
_symmetry_space_group_name_Hall '-P 3 2"'
_cell_length_a 6.2813
_cell_length_b 6.2813
_cell_length_c 7.6880
_cell_angle_alpha 90.00
_cell_angle_beta 90.00
_cell_angle_gamma 120.00
loop_
_atom_site_label
_atom_site_fract_x
_atom_site_fract_y
_atom_site_fract_z
Tl1 0.0000 0.0000 0.0000
Tl2 0.3333 0.6667 0.6741
Cu1 0.0000 0.0000 0.5000
Hg1 0.3333 0.6667 0.1878
F1 0.0000 0.5000 0.0000
F2 0.1532 0.3063 0.3487
```

Calculated values
For the electronic total energy, the calculation gives -3.4999 eV per atom. The value obtained for the density of states at the Fermi level is 2.47 states/eV per cell. Its crystal system is trigonal.

***

(4)
## AgBPtRh2 (PBE)

Data for an optimized crystal structure of AgBPtRh2.

Geometry as CIF:
```
data_AgBPtRh2
_chemical_formula_sum 'Ag1 B1 Pt1 Rh2'
_symmetry_space_group_name_H-M 'P 4/m m m'
_symmetry_Int_Tables_number 123
_symmetry_space_group_name_Hall '-P 4 2'
_cell_length_a 4.148
_cell_length_b 4.148
_cell_length_c 4.176
_cell_angle_alpha 90.00
_cell_angle_beta 90.00
_cell_angle_gamma 90.00
loop_
_atom_site_label
_atom_site_fract_x
_atom_site_fract_y
_atom_site_fract_z
Ag1 0.000 0.000 0.000
B1 0.500 0.500 0.500
Pt1 0.500 0.500 0.000
Rh1 0.000 0.500 0.500
```

Calculated values
Its formation energy is 3 meV per atom. The value obtained for the density of states at the Fermi level is 6.86 states/eV per cell. Its crystal system is tetragonal.

***

(5)
## Pa2TaAs2N2 (PBE)

Data for an optimized crystal structure of Pa2TaAs2N2.

Geometry as CIF:
```
data_Pa2TaAs2N2
_chemical_formula_sum 'Pa4 Ta2 As4 N4'
_symmetry_space_group_name_H-M 'C 1 2/m 1'
_symmetry_Int_Tables_number 12
_cell_length_a 11.456
_cell_length_b 3.838
_cell_length_c 6.767
_cell_angle_alpha 90.00
_cell_angle_beta 123.02
_cell_angle_gamma 90.00
loop_
_symmetry_equiv_pos_as_xyz
'x,y,z'
'-x,-y,-z'
'-x,y,-z'
'x,-y,z'
'x+1/2,y+1/2,z'
'-x+1/2,-y+1/2,-z'
'-x+1/2,y+1/2,-z'
'x+1/2,-y+1/2,z'
loop_
_atom_site_label
_atom_site_fract_x
_atom_site_fract_y
_atom_site_fract_z
Pa1 0.195 0.000 0.235
Ta1 0.000 0.000 0.500
As1 0.063 0.500 0.824
N1 0.208 0.000 0.585
```

Calculated values
For the electronic total energy, the calculation gives -9.3619 eV per atom. The value obtained for the density of states at the Fermi level is 9.96 states/eV per cell. Its crystal system is monoclinic.

***

(6)
## AlPbCl2 (PBE)

Data for an optimized crystal structure of AlPbCl2.

Geometry as CIF:
```
data_AlPbCl2
_chemical_formula_sum 'Al2 Pb2 Cl4'
_symmetry_space_group_name_H-M 'C m m m'
_symmetry_Int_Tables_number 65
_symmetry_space_group_name_Hall '-C 2 2'
_cell_length_a 6.828
_cell_length_b 8.589
_cell_length_c 3.431
_cell_angle_alpha 90.00
_cell_angle_beta 90.00
_cell_angle_gamma 90.00
loop_
_atom_site_label
_atom_site_fract_x
_atom_site_fract_y
_atom_site_fract_z
Al1 0.000 0.000 0.000
Pb1 0.000 0.500 0.000
Cl1 0.250 0.250 0.500
```

Calculated values
The energy above the most stable polymorph in this dataset comes out at 0.257 eV per atom. The value obtained for the density of states at the Fermi level is 3.20 states/eV per cell. Its crystal system is orthorhombic.

***

(7)
## YLuCu2 (PBE)

Data for an optimized crystal structure of YLuCu2.

Geometry as CIF:
```
data_YLuCu2
_chemical_formula_sum 'Y1 Lu1 Cu2'
_symmetry_space_group_name_H-M 'P 4/m m m'
_symmetry_Int_Tables_number 123
_symmetry_space_group_name_Hall '-P 4 2'
_cell_length_a 3.428
_cell_length_b 3.428
_cell_length_c 6.905
_cell_angle_alpha 90.00
_cell_angle_beta 90.00
_cell_angle_gamma 90.00
loop_
_atom_site_label
_atom_site_fract_x
_atom_site_fract_y
_atom_site_fract_z
Y1 0.000 0.000 0.000
Lu1 0.000 0.000 0.500
Cu1 0.500 0.500 0.266
```

Calculated values
The energy above the most stable polymorph in this dataset comes out at 0.000 eV per atom. Its formation energy is -275 meV per atom. The value obtained for the density of states at the Fermi level is 2.62 states/eV per cell. Its crystal system is tetragonal.

***

(8)
## TbEr2TaN4 (PBE)

Data for an optimized crystal structure of TbEr2TaN4.

Geometry as CIF:
```
data_TbEr2TaN4
_chemical_formula_sum 'Tb1 Er2 Ta1 N4'
_symmetry_space_group_name_H-M 'P 1 2/m 1'
_symmetry_Int_Tables_number 10
_cell_length_a 5.785
_cell_length_b 3.333
_cell_length_c 5.805
_cell_angle_alpha 90.00
_cell_angle_beta 109.13
_cell_angle_gamma 90.00
loop_
_symmetry_equiv_pos_as_xyz
'x,y,z'
'-x,-y,-z'
'-x,y,-z'
'x,-y,z'
loop_
_atom_site_label
_atom_site_fract_x
_atom_site_fract_y
_atom_site_fract_z
Tb1 0.000 0.000 0.000
Er1 0.500 0.000 0.500
Er2 0.500 0.500 0.000
Ta1 0.000 0.500 0.500
N1 0.232 0.000 0.729
N2 0.239 0.500 0.268
```

Calculated values
For the electronic total energy, the calculation gives -8.9240 eV per atom. The value obtained for the density of states at the Fermi level is 1.93 states/eV per cell. Its crystal system is monoclinic.

***

(9)
## RbI2N (PBE)

Data for an optimized crystal structure of RbI2N.

Geometry as CIF:
```
data_RbI2N
_chemical_formula_sum 'Rb4 I8 N4'
_symmetry_space_group_name_H-M 'F m -3 m'
_symmetry_Int_Tables_number 225
_symmetry_space_group_name_Hall '-F 4 2 3'
_cell_length_a 8.623
_cell_length_b 8.623
_cell_length_c 8.623
_cell_angle_alpha 90.00
_cell_angle_beta 90.00
_cell_angle_gamma 90.00
loop_
_atom_site_label
_atom_site_fract_x
_atom_site_fract_y
_atom_site_fract_z
Rb1 0.000 0.000 0.000
I1 0.250 0.250 0.250
N1 0.000 0.000 0.500
```

Calculated values
The energy above the most stable polymorph in this dataset comes out at 0.632 eV per atom. The value obtained for the density of states at the Fermi level is 18.55 states/eV per cell. Its crystal system is cubic.

***

(10)
## AcCe2Fe (PBE)

Data for an optimized crystal structure of AcCe2Fe.

Geometry as CIF:
```
data_AcCe2Fe
_chemical_formula_sum 'Ac3 Ce6 Fe3'
_symmetry_space_group_name_H-M 'R -3 m'
_symmetry_Int_Tables_number 166
_symmetry_space_group_name_Hall '-R 3 2"'
_cell_length_a 3.7611
_cell_length_b 3.7611
_cell_length_c 30.3237
_cell_angle_alpha 90.00
_cell_angle_beta 90.00
_cell_angle_gamma 120.00
loop_
_atom_site_label
_atom_site_fract_x
_atom_site_fract_y
_atom_site_fract_z
Ac1 0.0000 0.0000 0.0000
Ce1 0.0000 0.0000 0.1179
Fe1 0.0000 0.0000 0.5000
```

Calculated values
The energy above the most stable polymorph in this dataset comes out at 0.132 eV per atom. Its formation energy is 216 meV per atom. The value obtained for the density of states at the Fermi level is 28.04 states/eV per cell. Its crystal system is trigonal.

***

(11)
## Li3Tb (PBE)

Data for an optimized crystal structure of Li3Tb.

Geometry as CIF:
```
data_Li3Tb
_chemical_formula_sum 'Li6 Tb2'
_symmetry_space_group_name_H-M 'P 4/n m m'
_symmetry_Int_Tables_number 129
_cell_length_a 3.391
_cell_length_b 3.391
_cell_length_c 16.266
_cell_angle_alpha 90.00
_cell_angle_beta 90.00
_cell_angle_gamma 90.00
loop_
_symmetry_equiv_pos_as_xyz
'x,y,z'
'-x,-y,-z'
'-y+1/2,x,z'
'y+1/2,-x,-z'
'-x+1/2,-y+1/2,z'
'x+1/2,y+1/2,-z'
'y,-x+1/2,z'
'-y,x+1/2,-z'
'x+1/2,-y,-z'
'-x+1/2,y,z'
'-y,-x,-z'
'y,x,z'
'-x,y+1/2,-z'
'x,-y+1/2,z'
'y+1/2,x+1/2,-z'
'-y+1/2,-x+1/2,z'
loop_
_atom_site_label
_atom_site_fract_x
_atom_site_fract_y
_atom_site_fract_z
Li1 0.250 0.250 0.054
Li2 0.250 0.250 0.274
Li3 0.250 0.250 0.834
Tb1 0.250 0.250 0.578
```

Calculated values
The energy above the most stable polymorph in this dataset comes out at 0.000 eV per atom. Its formation energy is 44 meV per atom. The value obtained for the density of states at the Fermi level is 4.12 states/eV per cell. Its crystal system is tetragonal.

***

(12)
## Cu3Ir4O12 (PBE)

Data for an optimized crystal structure of Cu3Ir4O12.

Geometry as CIF:
```
data_Cu3Ir4O12
_chemical_formula_sum 'Cu6 Ir8 O24'
_symmetry_space_group_name_H-M 'I m -3'
_symmetry_Int_Tables_number 204
_symmetry_space_group_name_Hall '-I 2 2 3'
_cell_length_a 7.454
_cell_length_b 7.454
_cell_length_c 7.454
_cell_angle_alpha 90.00
_cell_angle_beta 90.00
_cell_angle_gamma 90.00
loop_
_atom_site_label
_atom_site_fract_x
_atom_site_fract_y
_atom_site_fract_z
Cu1 0.000 0.000 0.500
Ir1 0.250 0.250 0.250
O1 0.000 0.314 0.176
```

Calculated values
For the electronic total energy, the calculation gives -6.2701 eV per atom. The value obtained for the density of states at the Fermi level is 34.95 states/eV per cell. Its crystal system is cubic.